A relaxed LiLa2HgOs crystal. Source: the Alexandria database, functional PBE.

a = 5.4393 Å, b = 5.4393 Å, c = 4.9977 Å
α = 90.00°, β = 90.00°, γ = 90.00°
Element x y z (fractional)
Li 0.0000 0.0000 0.5000
Os 0.0000 0.0000 0.0000
Hg 0.5000 0.5000 0.5000
La 0.0000 0.5000 0.0000
La 0.5000 0.0000 0.0000

Values from the calculation:
DFT total energy, eV for the cell shown: -23.54
V, Å³ per atom: 29.572
Formation energy, eV per formula unit: -0.244
Spin magnetization, μB per atom: 0.00

A relaxed Li2La3Hg2Pb4 crystal. Source: the Alexandria database, functional PBE.

a = 4.9606 Å, b = 4.9606 Å, c = 15.4530 Å
α = 90.00°, β = 90.00°, γ = 120.00°
Element x y z (fractional)
Li 0.6667 0.3333 0.4306
Li 0.3333 0.6667 0.5694
La 0.0000 0.0000 0.7202
La 0.0000 0.0000 0.0000
La 0.0000 0.0000 0.2798
Hg 0.6667 0.3333 0.8254
Hg 0.3333 0.6667 0.1746
Pb 0.6667 0.3333 0.1132
Pb 0.3333 0.6667 0.8868
Pb 0.6667 0.3333 0.6184
Pb 0.3333 0.6667 0.3816

Values from the calculation:
DFT total energy, eV for the cell shown: -38.37
V, Å³ per atom: 29.938
Formation energy, eV per formula unit: -4.320
Spin magnetization, μB per atom: 0.00

A relaxed LiLaHgPb2 crystal. Source: the Alexandria database, functional PBE.

a = 5.1871 Å, b = 5.1871 Å, c = 4.9932 Å
α = 90.00°, β = 90.00°, γ = 90.00°
Element x y z (fractional)
Pb 0.0000 0.5000 0.0000
Pb 0.5000 0.0000 0.0000
Li 0.0000 0.0000 0.0000
Hg 0.0000 0.0000 0.5000
La 0.5000 0.5000 0.5000

Values from the calculation:
DFT total energy, eV for the cell shown: -15.85
V, Å³ per atom: 26.869
Formation energy, eV per formula unit: -1.290
Spin magnetization, μB per atom: 0.00